# 1
A plane-wave DFT calculation with PBE was carried out for a geometry-optimized SrBe2Os structure.

It has space group C2/m (No. 12), with a = 6.010 Å, b = 7.127 Å, c = 2.787 Å, α = 90.00°, β = 90.52° and γ = 90.00°. The inequivalent atoms are Sr at (0.000, 0.000, 0.000), Be at (0.250, 0.250, 0.500) and Os at (0.000, 0.500, 0.000).

As for the total energy: -33.780 eV per cell. The relative energy among the computed polymorphs is 825 meV per atom. The formation energy is 0.869 eV per atom.

---

# 2
A plane-wave DFT calculation with PBE was carried out for a geometry-optimized PrDy6Er2Th3 structure.

It has space group C2/m (No. 12), with a = 6.179 Å, b = 10.702 Å, c = 11.746 Å, α = 90.00°, β = 100.12° and γ = 90.00°. The inequivalent atoms are Pr at (0.000, 0.000, 0.000), Dy at (0.248, 0.333, 0.745), Dy at (0.249, 0.000, 0.746), Er at (0.000, 0.333, 0.000), Th at (0.000, 0.166, 0.500) and Th at (0.000, 0.500, 0.500).

As for the total energy: -127.025 eV per cell. The formation energy is 0.022 eV per atom.

---

# 3
A plane-wave DFT calculation with PBE was carried out for a geometry-optimized La3Pr4Au4 structure.

It has space group Immm (No. 71), with a = 5.060 Å, b = 7.882 Å, c = 16.571 Å, α = 90.00°, β = 90.00° and γ = 90.00°. The inequivalent atoms are La at (0.000, 0.000, 0.000), La at (0.000, 0.500, 0.098), Pr at (0.000, 0.278, 0.328), Au at (0.000, 0.000, 0.197) and Au at (0.000, 0.189, 0.500).

As for the total energy: -105.496 eV per cell. The formation energy is -0.522 eV per atom.

---

# 4
A plane-wave DFT calculation with PBE was carried out for a geometry-optimized AlTcCl structure.

It has space group P3m1 (No. 156), with a = 2.9660 Å, b = 2.9660 Å, c = 7.8304 Å, α = 90.00°, β = 90.00° and γ = 120.00°. The inequivalent atoms are Al at (0.0000, 0.0000, 0.0000), Tc at (0.3333, 0.6667, 0.7578) and Cl at (0.6667, 0.3333, 0.2175).

As for the total energy: -16.022 eV per cell. The relative energy among the computed polymorphs is 0 meV per atom.

---

# 5
A plane-wave DFT calculation with PBE was carried out for a geometry-optimized Mg2Zn2Co structure.

It has space group I4/mmm (No. 139), with a = 3.375 Å, b = 3.375 Å, c = 15.455 Å, α = 90.00°, β = 90.00° and γ = 90.00°. The inequivalent atoms are Mg at (0.000, 0.000, 0.090), Zn at (0.000, 0.500, 0.250) and Co at (0.000, 0.000, 0.500).

As for the total energy: -22.943 eV per cell. The relative energy among the computed polymorphs is 173 meV per atom. The formation energy is 0.274 eV per atom.

---

# 6
A plane-wave DFT calculation with PBE was carried out for a geometry-optimized Cu3Ag structure.

It has space group C2/m (No. 12), with a = 8.744 Å, b = 2.740 Å, c = 4.636 Å, α = 90.00°, β = 101.96° and γ = 90.00°. The inequivalent atoms are Cu at (0.000, 0.000, 0.000), Cu at (0.243, 0.500, 0.232) and Ag at (0.000, 0.500, 0.500).

As for the total energy: -29.423 eV per cell. The formation energy is 0.107 eV per atom.

---

# 7
A plane-wave DFT calculation with PBE was carried out for a geometry-optimized Nd2NiGe3 structure.

It has space group Fmmm (No. 69), with a = 8.345 Å, b = 8.499 Å, c = 14.491 Å, α = 90.00°, β = 90.00° and γ = 90.00°. The inequivalent atoms are Nd at (0.000, 0.244, 0.000), Nd at (0.250, 0.250, 0.250), Ni at (0.000, 0.000, 0.333), Ge at (0.000, 0.000, 0.174) and Ge at (0.238, 0.000, 0.414).

As for the total energy: -270.618 eV per cell. The relative energy among the computed polymorphs is 0 meV per atom. The formation energy is -0.776 eV per atom.

---

# 8
A plane-wave DFT calculation with PBE was carried out for a geometry-optimized Fe2ReMo structure.

It has space group P2/m (No. 10), with a = 2.600 Å, b = 4.236 Å, c = 5.099 Å, α = 90.00°, β = 102.14° and γ = 90.00°. The inequivalent atoms are Fe at (0.247, 0.000, 0.246), Re at (0.500, 0.500, 0.000) and Mo at (0.000, 0.500, 0.500).

As for the total energy: -39.732 eV per cell. The formation energy is 0.118 eV per atom.